Model w:
DFT (GGA-PBE) results for a geometry-optimized Ac2InRu structure.

Lattice parameters (Å, degrees): 5.5057 5.5057 5.5057 60.00 60.00 60.00
Closest atoms and distances in Å follow each position.
Fractional positions:
Ac: 0.2500 0.2500 0.2500  4 In 3.37, 4 Ru 3.37
Ac: 0.7500 0.7500 0.7500  4 In 3.37, 4 Ru 3.37
In: 0.0000 0.0000 0.0000  8 Ac 3.37
Ru: 0.5000 0.5000 0.5000  8 Ac 3.37

Values from the calculation:
The magnetization comes out at 0.00 μB per formula unit. Its density of states at the Fermi level is 0.81 states/eV/atom. Its space group is Fm-3m (225).

Model x:
DFT (GGA-PBE) results for a geometry-optimized Ac2InRu structure.

Lattice parameters (Å, degrees): 5.9329 5.9329 5.9329 136.84 81.45 114.78
Closest atoms and distances in Å follow each position.
Fractional positions:
Ac: 0.2032 0.0000 0.2032  3 Ru 3.18-3.21, 2 In 3.45
Ac: 0.7968 0.0000 0.7968  3 Ru 3.18-3.21, 2 In 3.45
In: 0.4958 0.4958 0.0000  2 Ru 2.80
Ru: 0.2209 0.7209 0.5000  2 In 2.80

Values from the calculation:
The magnetization comes out at 0.00 μB per formula unit. Its density of states at the Fermi level is 1.05 states/eV/atom. Its space group is Imm2 (44).

Model y:
DFT (GGA-PBE) results for a geometry-optimized Ac2InRu structure.

Lattice parameters (Å, degrees): 7.8928 5.8301 11.5511 90.00 90.00 90.00
Closest atoms and distances in Å follow each position.
Fractional positions:
Ac: 0.0609 0.2500 0.2197  2 Ru 2.74
Ac: 0.1605 0.2500 0.5714  3 Ru 2.93-3.07
Ac: 0.3395 0.7500 0.0714  3 Ru 2.93-3.07
Ac: 0.4391 0.7500 0.7197  2 Ru 2.74
Ac: 0.5609 0.2500 0.2803  2 Ru 2.74
Ac: 0.6605 0.2500 0.9286  3 Ru 2.93-3.07
Ac: 0.8395 0.7500 0.4286  3 Ru 2.93-3.07
Ac: 0.9391 0.7500 0.7803  2 Ru 2.74
In: 0.1575 0.2500 0.8952  1 Ru 2.73
In: 0.3425 0.7500 0.3952  1 Ru 2.73
In: 0.6575 0.2500 0.6048  1 Ru 2.73
In: 0.8425 0.7500 0.1048  1 Ru 2.73
Ru: 0.1475 0.7500 0.5906  1 In 2.73, 4 Ac 2.74-2.93
Ru: 0.3525 0.2500 0.0906  1 In 2.73, 4 Ac 2.74-2.93
Ru: 0.6475 0.7500 0.9094  1 In 2.73, 4 Ac 2.74-2.93
Ru: 0.8525 0.2500 0.4094  1 In 2.73, 4 Ac 2.74-2.93

Values from the calculation:
The magnetization comes out at 0.00 μB per formula unit. Its density of states at the Fermi level is 0.97 states/eV/atom. Its space group is Pnma (62).

Model z:
DFT (GGA-PBE) results for a geometry-optimized Ac2InRu structure.

Lattice parameters (Å, degrees): 5.4601 5.4601 3.9660 90.00 90.00 90.00
Closest atoms and distances in Å follow each position.
Fractional positions:
Ac: 0.0000 0.5000 0.0000  4 In 3.37, 4 Ru 3.37
Ac: 0.5000 0.0000 0.0000  4 In 3.37, 4 Ru 3.37
In: 0.0000 0.0000 0.5000  8 Ac 3.37
Ru: 0.5000 0.5000 0.5000  8 Ac 3.37

Values from the calculation:
The magnetization comes out at 0.00 μB per formula unit. Its density of states at the Fermi level is 0.82 states/eV/atom. Its space group is P4/mmm (123).

Most stable pick: model y. Distance to second place: 103 meV/atom.